Compound: KAg2Sn8
Source: Alexandria via LeMat-Bulk
Functional: GGA-PBE
Structure: optimized geometry

Structure (POSCAR):
```
KAg2Sn8
1.0
6.3183 0.0000 0.0000
0.0000 6.3183 0.0000
0.0000 0.0000 9.6820
K Ag Sn
1 2 8
direct
0.5000 0.5000 0.5000 K
0.5000 0.0000 0.0000 Ag
0.0000 0.5000 0.0000 Ag
0.7525 0.7525 0.1912 Sn
0.7525 0.2475 0.8088 Sn
0.7525 0.7525 0.8088 Sn
0.7525 0.2475 0.1912 Sn
0.2475 0.7525 0.1912 Sn
0.2475 0.7525 0.8088 Sn
0.2475 0.2475 0.1912 Sn
0.2475 0.2475 0.8088 Sn
```

formation enthalpy at 0 K: 110 meV per atom
symmetry: No. 123